Tb2TmTl3Se6, relaxed, DFT GGA-PBE; magnetization = 0.00 μB per formula unit; electronic total energy = -4.863 eV per atom; uncorrected formation energy = -1.38 eV per atom; space group = C2/m, No. 12
1.0
3.621 -6.272 0.000
3.621 6.272 0.000
-2.415 0.000 7.775
Tb Tm Tl Se
2 1 3 6
Direct
0.167 0.833 0.000 Tb
0.833 0.167 0.000 Tb
0.500 0.500 0.000 Tm
0.000 0.000 0.500 Tl
0.332 0.668 0.500 Tl
0.668 0.332 0.500 Tl
0.103 0.432 0.797 Se
0.239 0.239 0.205 Se
0.432 0.103 0.797 Se
0.568 0.897 0.203 Se
0.761 0.761 0.795 Se
0.897 0.568 0.203 Se